{
  "formula": "Cu4Ni2Pt3",
  "functional": "PBE",
  "state": "optimized geometry",
  "final_energy_ev_per_atom": -5.21,
  "formation_enthalpy_0k_ev_per_atom": -0.09,
  "volume_a3_per_cell": 118.0,
  "cell": [[6.7514, -1.3453, 0.0000], [6.7514, 1.3453, 0.0000], [-2.9120, 0.0000, 6.4934]],
  "species": ["Cu", "Cu", "Cu", "Cu", "Ni", "Ni", "Pt", "Pt", "Pt"],
  "fractional_positions": [[0.0239, 0.0239, 0.3363], [0.3145, 0.3145, 0.6659], [0.6855, 0.6855, 0.3341], [0.9761, 0.9761, 0.6637], [0.1692, 0.1692, 0.0038], [0.8308, 0.8308, 0.9962], [0.3521, 0.3521, 0.3259], [0.5000, 0.5000, 0.0000], [0.6479, 0.6479, 0.6741]]
}



{
  "formula": "Cu2Ni2Pt5",
  "functional": "PBE",
  "state": "optimized geometry",
  "e_above_lowest_polymorph_mev_per_atom": 0,
  "final_energy_ev_per_atom": -5.63,
  "formation_enthalpy_0k_ev_per_atom": -0.08,
  "volume_a3_per_cell": 126.0,
  "cell": [[4.2706, -1.8987, 0.0000], [4.2706, 1.8987, 0.0000], [-2.5050, 0.0000, 7.7701]],
  "species": ["Cu", "Cu", "Ni", "Ni", "Pt", "Pt", "Pt", "Pt", "Pt"],
  "fractional_positions": [[0.1671, 0.1671, 0.0547], [0.8329, 0.8329, 0.9453], [0.1684, 0.1684, 0.3885], [0.8316, 0.8316, 0.6115], [0.1702, 0.1702, 0.7194], [0.4996, 0.4996, 0.1644], [0.5000, 0.5000, 0.5000], [0.5004, 0.5004, 0.8356], [0.8298, 0.8298, 0.2806]]
}



{
  "formula": "CuNi7Pt2",
  "functional": "PBE",
  "state": "optimized geometry",
  "final_energy_ev_per_atom": -5.70,
  "formation_enthalpy_0k_ev_per_atom": -0.03,
  "volume_a3_per_cell": 120.8,
  "cell": [[4.4444, 0.0000, 0.0000], [-0.7714, 4.3837, 0.0000], [-1.4634, -2.4595, 6.2028]],
  "species": ["Cu", "Ni", "Ni", "Ni", "Ni", "Ni", "Ni", "Ni", "Pt", "Pt"],
  "fractional_positions": [[0.0000, 0.0000, 0.0000], [0.0908, 0.1961, 0.6944], [0.2032, 0.4033, 0.4024], [0.2952, 0.5990, 0.1034], [0.5000, 0.0000, 0.5000], [0.7048, 0.4010, 0.8966], [0.7968, 0.5967, 0.5976], [0.9092, 0.8039, 0.3056], [0.3938, 0.7924, 0.7928], [0.6062, 0.2076, 0.2072]]
}



{
  "formula": "CuNiPt2",
  "functional": "PBE",
  "state": "optimized geometry",
  "final_energy_ev_per_atom": -5.51,
  "formation_enthalpy_0k_ev_per_atom": -0.02,
  "volume_a3_per_cell": 112.6,
  "cell": [[2.7332, 0.0000, 0.0000], [0.0000, 4.6256, 0.0000], [0.0000, 0.0000, 8.9032]],
  "species": ["Cu", "Cu", "Ni", "Ni", "Pt", "Pt", "Pt", "Pt"],
  "fractional_positions": [[0.0000, 0.0000, 0.0000], [0.5000, 0.5000, 0.0000], [0.0000, 0.0000, 0.5000], [0.5000, 0.5000, 0.5000], [0.0000, 0.5000, 0.2520], [0.0000, 0.5000, 0.7480], [0.5000, 0.0000, 0.2520], [0.5000, 0.0000, 0.7480]]
}



{
  "formula": "CuNi5Pt",
  "functional": "PBE",
  "state": "optimized geometry",
  "final_energy_ev_per_atom": -5.44,
  "formation_enthalpy_0k_ev_per_atom": 0.14,
  "volume_a3_per_cell": 179.2,
  "cell": [[4.9463, 0.0000, 0.0000], [0.0000, 7.2423, 0.0000], [0.0000, 0.0000, 5.0015]],
  "species": ["Cu", "Cu", "Ni", "Ni", "Ni", "Ni", "Ni", "Ni", "Ni", "Ni", "Ni", "Ni", "Pt", "Pt"],
  "fractional_positions": [[0.0000, 0.0000, 0.0000], [0.5000, 0.5000, 0.0000], [0.0000, 0.5000, 0.0000], [0.2500, 0.2500, 0.2477], [0.2500, 0.2500, 0.7523], [0.2500, 0.7500, 0.2477], [0.2500, 0.7500, 0.7523], [0.5000, 0.0000, 0.0000], [0.7500, 0.2500, 0.2477], [0.7500, 0.2500, 0.7523], [0.7500, 0.7500, 0.2477], [0.7500, 0.7500, 0.7523], [0.0000, 0.5000, 0.5000], [0.5000, 0.0000, 0.5000]]
}



{
  "formula": "Cu2NiPt2",
  "functional": "PBE",
  "state": "optimized geometry",
  "e_above_lowest_polymorph_mev_per_atom": 321,
  "final_energy_ev_per_atom": -4.98,
  "formation_enthalpy_0k_ev_per_atom": 0.23,
  "volume_a3_per_cell": 152.6,
  "cell": [[4.3108, 0.0000, 0.0000], [0.0000, 6.8659, 0.0000], [0.0000, 0.0000, 5.1553]],
  "species": ["Cu", "Cu", "Cu", "Cu", "Ni", "Ni", "Pt", "Pt", "Pt", "Pt"],
  "fractional_positions": [[0.0000, 0.1701, 0.0000], [0.0000, 0.8299, 0.0000], [0.5000, 0.3299, 0.0000], [0.5000, 0.6701, 0.0000], [0.0000, 0.0000, 0.5000], [0.5000, 0.5000, 0.5000], [0.0000, 0.5000, 0.2515], [0.0000, 0.5000, 0.7485], [0.5000, 0.0000, 0.2515], [0.5000, 0.0000, 0.7485]]
}



{
  "formula": "CuNi2Pt",
  "functional": "PBE",
  "state": "optimized geometry",
  "final_energy_ev_per_atom": -5.49,
  "formation_enthalpy_0k_ev_per_atom": -0.06,
  "volume_a3_per_cell": 99.9,
  "cell": [[5.2050, 0.0000, 0.0000], [0.0000, 7.2590, 0.0000], [0.0000, 0.0000, 2.6435]],
  "species": ["Cu", "Cu", "Ni", "Ni", "Ni", "Ni", "Pt", "Pt"],
  "fractional_positions": [[0.0000, 0.0000, 0.0000], [0.5000, 0.5000, 0.0000], [0.2500, 0.2500, 0.5000], [0.2500, 0.7500, 0.5000], [0.7500, 0.2500, 0.5000], [0.7500, 0.7500, 0.5000], [0.0000, 0.5000, 0.0000], [0.5000, 0.0000, 0.0000]]
}



{
  "formula": "Cu2Ni2Pt",
  "functional": "PBE",
  "state": "optimized geometry",
  "e_above_lowest_polymorph_mev_per_atom": 146,
  "final_energy_ev_per_atom": -4.99,
  "formation_enthalpy_0k_ev_per_atom": 0.16,
  "volume_a3_per_cell": 129.2,
  "cell": [[4.1280, 0.0000, 0.0000], [0.0000, 5.0607, 0.0000], [0.0000, 0.0000, 6.1850]],
  "species": ["Cu", "Cu", "Cu", "Cu", "Ni", "Ni", "Ni", "Ni", "Pt", "Pt"],
  "fractional_positions": [[0.0000, 0.0000, 0.1907], [0.0000, 0.0000, 0.8093], [0.5000, 0.5000, 0.3093], [0.5000, 0.5000, 0.6907], [0.0000, 0.2807, 0.5000], [0.0000, 0.7193, 0.5000], [0.5000, 0.2193, 0.0000], [0.5000, 0.7807, 0.0000], [0.0000, 0.5000, 0.0000], [0.5000, 0.0000, 0.5000]]
}